(1)
Computed, not measured: a relaxed structure of Ac2PaHO6 at the PBE level of DFT.

DOS(E_F): 0.00 states/eV/atom
uncorrected energy: -82.47 eV per cell
total magnetization: 0.000 μB per formula unit
crystal system: triclinic

Lattice parameters (Å, degrees): 4.134 5.963 6.894 110.17 106.91 95.74
Space group P1 (No. 1)
Unique sites:
Ac  0.000  0.000  0.000 (multiplicity 1)
Ac  0.306  0.357  0.661 (multiplicity 1)
Pa  0.601  0.735  0.360 (multiplicity 1)
H  0.786  0.372  0.143 (multiplicity 1)
O  0.127  0.922  0.352 (multiplicity 1)
O  0.157  0.457  0.316 (multiplicity 1)
O  0.469  0.767  0.040 (multiplicity 1)
O  0.538  0.295  0.034 (multiplicity 1)
O  0.782  0.093  0.647 (multiplicity 1)
O  0.803  0.628  0.639 (multiplicity 1)



(2)
Computed, not measured: a relaxed structure of Ac2H2PbO6 at the PBE level of DFT.

uncorrected energy: -201.97 eV per cell
total magnetization: 0.000 μB per formula unit
crystal system: trigonal

Lattice parameters (Å, degrees): 5.4045 5.4045 16.3478 90.00 90.00 120.00
Space group R-3m (No. 166, hexagonal axes)
Unique sites:
Ac  0.0000  0.0000  0.2247 (multiplicity 6)
H  0.0000  0.0000  0.4210 (multiplicity 6)
Pb  0.0000  0.0000  0.0000 (multiplicity 3)
O  0.0176  0.5088  0.2446 (multiplicity 18)



(3)
Computed, not measured: a relaxed structure of AcH2PbO4 at the PBE level of DFT.

DOS(E_F): 0.42 states/eV/atom
uncorrected energy: -93.92 eV per cell
total magnetization: 0.070 μB per formula unit
crystal system: orthorhombic

Lattice parameters (Å, degrees): 5.162 5.794 6.655 90.00 90.00 90.00
Space group I222 (No. 23)
Unique sites:
Ac  0.000  0.000  0.000 (multiplicity 2)
H  0.000  0.500  0.214 (multiplicity 4)
Pb  0.000  0.000  0.500 (multiplicity 2)
O  0.179  0.359  0.220 (multiplicity 8)